(1)
Density functional theory data (GGA-PBE) for a relaxed AgHgBrCl2 crystal.

## Properties
Uncorrected formation energy   -0.435 eV/atom
Symmetry   No. 11
Size of the total moment   0.00 μB/cell
DFT total energy   -21.4 eV/cell
Volume   356 Å³ per cell

a = 4.4365 Å, b = 10.0953 Å, c = 7.9611 Å
α = 88.52°, β = 90.00°, γ = 90.00°
Closest atoms and distances in Å follow each position.
Sites, in units of the cell vectors:
Hg  0.2500  0.1699  0.0455  1 Cl 2.34, 1 Br 2.48
Cl  0.7500  0.6579  0.6188  3 Ag 2.57-2.75
Br  0.7500  0.0412  0.7879  1 Hg 2.48
Hg  0.7500  0.8301  0.9545  1 Cl 2.34, 1 Br 2.48
Cl  0.7500  0.6229  0.0939  1 Hg 2.34
Ag  0.2500  0.5286  0.6273  4 Cl 2.57-2.75
Cl  0.2500  0.3771  0.9061  1 Hg 2.34
Br  0.2500  0.9588  0.2121  1 Hg 2.48
Cl  0.2500  0.3421  0.3812  3 Ag 2.57-2.75
Ag  0.7500  0.4714  0.3727  4 Cl 2.57-2.75


(2)
Density functional theory data (GGA-PBE) for a relaxed LiAcInPb crystal.

## Properties
Symmetry   No. 8
Size of the total moment   0.00 μB/cell
DFT total energy   -14.2 eV/cell
Density of states at the Fermi level   0.3919 states/eV per atom
Excess energy over the best structure of this formula in the dataset   0.000 eV per atom
Energy relative to the elements   -0.42 eV per atom
Volume   117 Å³ per cell

a = 4.7628 Å, b = 4.7591 Å, c = 6.5551 Å
α = 111.34°, β = 90.00°, γ = 120.03°
Closest atoms and distances in Å follow each position.
Sites, in units of the cell vectors:
Li  0.1158  0.2317  0.9897  3 Pb 2.87, 3 In 2.89
In  0.8318  0.6637  0.1384  3 Li 2.89
Ac  0.6162  0.2323  0.4904  4 In 3.45-3.85, 4 Pb 3.48-3.82
Pb  0.4025  0.8049  0.8488  3 Li 2.87


(3)
Density functional theory data (GGA-PBE) for a relaxed Tl2ZnMo crystal.

## Properties
Symmetry   No. 225
Size of the total moment   3.19 μB/cell
DFT total energy   -13.5 eV/cell
Density of states at the Fermi level   0.8432 states/eV per atom
Excess energy over the best structure of this formula in the dataset   0.355 eV per atom
Energy relative to the elements   0.83 eV per atom
Volume   87 Å³ per cell

a = 4.9827 Å, b = 4.9827 Å, c = 4.9827 Å
α = 60.00°, β = 60.00°, γ = 60.00°
Closest atoms and distances in Å follow each position.
Sites, in units of the cell vectors:
Zn  0.0000  0.0000  0.0000  8 Tl 3.05
Tl  0.7500  0.7500  0.7500  4 Mo 3.05, 4 Zn 3.05
Mo  0.5000  0.5000  0.5000  8 Tl 3.05
Tl  0.2500  0.2500  0.2500  4 Mo 3.05, 4 Zn 3.05


(4)
Density functional theory data (GGA-PBE) for a relaxed AcTmZnGa crystal.

## Properties
Symmetry   No. 216
Size of the total moment   0.00 μB/cell
DFT total energy   -14.3 eV/cell
Density of states at the Fermi level   0.9597 states/eV per atom
Energy relative to the elements   -0.36 eV per atom
Volume   105 Å³ per cell

a = 5.2965 Å, b = 5.2965 Å, c = 5.2965 Å
α = 60.00°, β = 60.00°, γ = 60.00°
Closest atoms and distances in Å follow each position.
Sites, in units of the cell vectors:
Tm  0.0000  0.0000  0.0000  4 Ga 3.24, 4 Zn 3.24
Ga  0.2500  0.2500  0.2500  4 Ac 3.24, 4 Tm 3.24
Zn  0.7500  0.7500  0.7500  4 Ac 3.24, 4 Tm 3.24
Ac  0.5000  0.5000  0.5000  4 Zn 3.24, 4 Ga 3.24


(5)
Density functional theory data (GGA-PBE) for a relaxed BaLiMgAg2 crystal.

## Properties
Symmetry   No. 119
Size of the total moment   0.00 μB/cell
DFT total energy   -12.2 eV/cell
Density of states at the Fermi level   0.5456 states/eV per atom
Energy relative to the elements   -0.22 eV per atom
Volume   132 Å³ per cell

a = 4.5159 Å, b = 4.5159 Å, c = 7.1963 Å
α = 108.29°, β = 108.29°, γ = 90.00°
Closest atoms and distances in Å follow each position.
Sites, in units of the cell vectors:
Ba  0.0000  0.0000  0.0000  8 Ag 3.52, 4 Li 3.94, 4 Mg 3.94
Mg  0.7500  0.2500  0.5000  4 Ag 2.85, 4 Li 3.19
Li  0.2500  0.7500  0.5000  4 Ag 2.85, 4 Mg 3.19
Ag  0.3851  0.3851  0.7702  2 Li 2.85, 2 Mg 2.85, 1 Ag 2.96
Ag  0.6149  0.6149  0.2298  2 Li 2.85, 2 Mg 2.85, 1 Ag 2.96


(6)
Density functional theory data (GGA-PBE) for a relaxed TbGa2PtRh2 crystal.

## Properties
Symmetry   No. 123
Size of the total moment   0.11 μB/cell
DFT total energy   -33.3 eV/cell
Density of states at the Fermi level   1.0793 states/eV per atom
Energy relative to the elements   -0.31 eV per atom
Volume   119 Å³ per cell

a = 4.6644 Å, b = 4.6644 Å, c = 5.4910 Å
α = 90.00°, β = 90.00°, γ = 90.00°
Closest atoms and distances in Å follow each position.
Sites, in units of the cell vectors:
Rh  0.5000  0.5000  0.2584  2 Rh 2.65-2.84, 4 Ga 2.73
Tb  0.0000  0.0000  0.5000  2 Pt 2.75
Ga  0.5000  0.0000  0.0000  2 Pt 2.33
Ga  0.0000  0.5000  0.0000  2 Pt 2.33
Pt  0.0000  0.0000  0.0000  4 Ga 2.33
Rh  0.5000  0.5000  0.7416  2 Rh 2.65-2.84, 4 Ga 2.73


(7)
Density functional theory data (GGA-PBE) for a relaxed TePb2C4 crystal.

## Properties
Uncorrected formation energy   2.468 eV/atom
Symmetry   No. 139
Size of the total moment   1.45 μB/cell
DFT total energy   -30.2 eV/cell
Density of states at the Fermi level   0.4717 states/eV per atom
Volume   119 Å³ per cell

a = 4.2906 Å, b = 4.2906 Å, c = 7.1478 Å
α = 72.53°, β = 72.53°, γ = 90.00°
Closest atoms and distances in Å follow each position.
Sites, in units of the cell vectors:
C  0.0000  0.5000  0.0000  2 Te 2.15
Pb  0.3540  0.3540  0.2920  1 C 2.42
Pb  0.6460  0.6460  0.7080  1 C 2.42
C  0.5000  0.0000  0.0000  2 Te 2.15
C  0.8330  0.8330  0.3340  1 Te 2.16
Te  0.0000  0.0000  0.0000  6 C 2.15-2.16
C  0.1670  0.1670  0.6660  1 Te 2.16